The following is a PBE calculation of a geometry-optimized Li6Hg2PdN structure, from Alexandria.

The formation energy without anion corrections is -305 meV/atom.

Cell and atoms, written as CIF:
```
data_Li6Hg2PdN
_chemical_formula_sum 'Li6 Hg2 Pd1 N1'
_cell_length_a 6.117
_cell_length_b 6.672
_cell_length_c 7.095
_cell_angle_alpha 56.98
_cell_angle_beta 52.27
_cell_angle_gamma 89.78
_space_group_name_H-M_alt 'P 1'
_space_group_IT_number 1
loop_
_space_group_symop_operation_xyz
'x,y,z'
loop_
_atom_site_label
_atom_site_type_symbol
_atom_site_fract_x
_atom_site_fract_y
_atom_site_fract_z
Li1 Li 0.287 0.244 0.913
Pd1 Pd 0.500 0.500 0.000
Hg1 Hg 0.174 0.835 0.471
Li2 Li 0.679 0.834 0.445
Hg2 Hg 0.826 0.165 0.529
Li3 Li 0.848 0.258 0.891
Li4 Li 0.321 0.166 0.555
Li5 Li 0.152 0.742 0.109
Li6 Li 0.713 0.756 0.087
N1 N 0.000 0.000 0.000
```